! PBE with a Hubbard U CrGaTc2O6, relaxed; values from VASP
! ρ in Mg/m³: 6.179
! M_tot in μB per formula unit: 1.00
! Calculated total energy in eV/cell: -74.45
&SYSTEM
  ibrav = 0, nat = 10, ntyp = 4
/
ATOMIC_SPECIES
Cr 52.00 Cr.upf
Ga 69.72 Ga.upf
Tc 98.00 Tc.upf
O 16.00 O.upf
CELL_PARAMETERS angstrom
-2.530 -3.349 3.038
2.702 -3.224 3.013
-0.142 1.044 5.500
ATOMIC_POSITIONS crystal
Cr 0.824 0.812 0.553
Ga 0.308 0.310 0.065
Tc 0.011 0.013 0.961
O 0.920 0.606 0.243
O 0.229 0.920 0.245
Tc 0.510 0.511 0.463
O 0.411 0.725 0.748
O 0.596 0.252 0.223
O 0.129 0.392 0.764
O 0.722 0.121 0.750